Material: Tb3RuO6
Method: DFT, PBE-GGA
State: relaxed

Values from the calculation:
final energy = -162.547 eV per cell

a = 6.531 Å, b = 6.531 Å, c = 6.531 Å
α = 97.98°, β = 97.98°, γ = 97.98°
Positions (direct):
Tb1 0.100 0.613 0.785
Tb2 0.215 0.900 0.387
Tb3 0.387 0.215 0.900
Tb4 0.613 0.785 0.100
Tb5 0.785 0.100 0.613
Tb6 0.900 0.387 0.215
Ru1 0.000 0.000 0.000
Ru2 0.500 0.500 0.500
O1 0.063 0.305 0.920
O2 0.080 0.937 0.695
O3 0.195 0.553 0.439
O4 0.305 0.920 0.063
O5 0.439 0.195 0.553
O6 0.447 0.561 0.805
O7 0.553 0.439 0.195
O8 0.561 0.805 0.447
O9 0.695 0.080 0.937
O10 0.805 0.447 0.561
O11 0.920 0.063 0.305
O12 0.937 0.695 0.080

***

Material: Tb3RuO7
Method: DFT, PBE-GGA
State: relaxed

Values from the calculation:
energy above the most stable polymorph in this dataset = 0.8 kJ per mole of atoms
final energy = -175.897 eV per cell

a = 6.434 Å, b = 6.434 Å, c = 7.434 Å
α = 90.00°, β = 90.00°, γ = 69.56°
Positions (direct):
Tb1 0.000 0.000 0.000
Tb2 0.000 0.000 0.500
Tb3 0.073 0.479 0.750
Tb4 0.479 0.073 0.250
Tb5 0.521 0.927 0.750
Tb6 0.927 0.521 0.250
Ru1 0.500 0.500 0.000
Ru2 0.500 0.500 0.500
O1 0.110 0.156 0.250
O2 0.156 0.110 0.750
O3 0.181 0.563 0.038
O4 0.181 0.563 0.462
O5 0.411 0.589 0.750
O6 0.437 0.819 0.038
O7 0.437 0.819 0.462
O8 0.563 0.181 0.538
O9 0.563 0.181 0.962
O10 0.589 0.411 0.250
O11 0.819 0.437 0.538
O12 0.819 0.437 0.962
O13 0.844 0.890 0.250
O14 0.890 0.844 0.750

***

Material: Tb2Ru2O7
Method: DFT, PBE-GGA
State: relaxed

Values from the calculation:
final energy = -172.156 eV per cell

a = 7.264 Å, b = 7.264 Å, c = 7.264 Å
α = 60.00°, β = 60.00°, γ = 60.00°
Positions (direct):
Tb1 0.000 0.000 0.000
Tb2 0.000 0.000 0.500
Tb3 0.000 0.500 0.000
Tb4 0.500 0.000 0.000
Ru1 0.000 0.500 0.500
Ru2 0.500 0.000 0.500
Ru3 0.500 0.500 0.000
Ru4 0.500 0.500 0.500
O1 0.125 0.125 0.125
O2 0.163 0.163 0.587
O3 0.163 0.587 0.163
O4 0.163 0.587 0.587
O5 0.413 0.413 0.837
O6 0.413 0.837 0.413
O7 0.413 0.837 0.837
O8 0.587 0.163 0.163
O9 0.587 0.163 0.587
O10 0.587 0.587 0.163
O11 0.837 0.413 0.413
O12 0.837 0.413 0.837
O13 0.837 0.837 0.413
O14 0.875 0.875 0.875

***

Material: Tb5Ru2O12
Method: DFT, PBE-GGA
State: relaxed

Values from the calculation:
final energy = -152.588 eV per cell

a = 6.896 Å, b = 6.896 Å, c = 7.365 Å
α = 105.57°, β = 105.57°, γ = 50.22°
Positions (direct):
Tb1 0.000 0.000 0.000
Tb2 0.302 0.302 0.139
Tb3 0.308 0.308 0.671
Tb4 0.692 0.692 0.329
Tb5 0.698 0.698 0.861
Ru1 0.252 0.748 0.500
Ru2 0.748 0.252 0.500
O1 0.000 0.000 0.317
O2 0.000 0.000 0.683
O3 0.095 0.597 0.925
O4 0.100 0.573 0.418
O5 0.403 0.905 0.075
O6 0.427 0.900 0.582
O7 0.500 0.500 0.301
O8 0.500 0.500 0.699
O9 0.573 0.100 0.418
O10 0.597 0.095 0.925
O11 0.900 0.427 0.582
O12 0.905 0.403 0.075

***

Material: TbRuO3
Method: DFT, PBE-GGA
State: relaxed

Values from the calculation:
final energy = -77.952 eV per cell

a = 6.004 Å, b = 3.648 Å, c = 6.235 Å
α = 90.00°, β = 110.42°, γ = 90.00°
Positions (direct):
Tb1 0.222 0.250 0.409
Tb2 0.778 0.750 0.591
Ru1 0.328 0.750 0.985
Ru2 0.672 0.250 0.015
O1 0.180 0.750 0.640
O2 0.213 0.250 0.995
O3 0.405 0.750 0.322
O4 0.595 0.250 0.678
O5 0.787 0.750 0.005
O6 0.820 0.250 0.360

***

Material: Tb12Ru3O5
Method: DFT, PBE-GGA
State: relaxed

Values from the calculation:
final energy = -554.519 eV per cell

a = 13.161 Å, b = 13.161 Å, c = 13.161 Å
α = 109.47°, β = 109.47°, γ = 109.47°
Positions (direct):
Tb1 0.024 0.208 0.120
Tb2 0.024 0.316 0.904
Tb3 0.088 0.708 0.684
Tb4 0.088 0.880 0.404
Tb5 0.096 0.620 0.412
Tb6 0.096 0.976 0.684
Tb7 0.120 0.024 0.208
Tb8 0.120 0.596 0.912
Tb9 0.184 0.208 0.588
Tb10 0.184 0.476 0.596
Tb11 0.208 0.120 0.024
Tb12 0.208 0.588 0.184
Tb13 0.292 0.316 0.912
Tb14 0.292 0.476 0.380
Tb15 0.316 0.904 0.024
Tb16 0.316 0.912 0.292
Tb17 0.380 0.292 0.476
Tb18 0.380 0.588 0.904
Tb19 0.404 0.088 0.880
Tb20 0.404 0.816 0.524
Tb21 0.412 0.096 0.620
Tb22 0.412 0.816 0.792
Tb23 0.476 0.380 0.292
Tb24 0.476 0.596 0.184
Tb25 0.524 0.404 0.816
Tb26 0.524 0.620 0.708
Tb27 0.588 0.184 0.208
Tb28 0.588 0.904 0.380
Tb29 0.596 0.184 0.476
Tb30 0.596 0.912 0.120
Tb31 0.620 0.412 0.096
Tb32 0.620 0.708 0.524
Tb33 0.684 0.088 0.708
Tb34 0.684 0.096 0.976
Tb35 0.708 0.524 0.620
Tb36 0.708 0.684 0.088
Tb37 0.792 0.412 0.816
Tb38 0.792 0.880 0.976
Tb39 0.816 0.524 0.404
Tb40 0.816 0.792 0.412
Tb41 0.880 0.404 0.088
Tb42 0.880 0.976 0.792
Tb43 0.904 0.024 0.316
Tb44 0.904 0.380 0.588
Tb45 0.912 0.120 0.596
Tb46 0.912 0.292 0.316
Tb47 0.976 0.684 0.096
Tb48 0.976 0.792 0.880
Ru1 0.125 0.250 0.375
Ru2 0.125 0.375 0.750
Ru3 0.250 0.375 0.125
Ru4 0.250 0.875 0.625
Ru5 0.375 0.125 0.250
Ru6 0.375 0.750 0.125
Ru7 0.625 0.250 0.875
Ru8 0.625 0.875 0.750
Ru9 0.750 0.125 0.375
Ru10 0.750 0.625 0.875
Ru11 0.875 0.625 0.250
Ru12 0.875 0.750 0.625
O1 0.000 0.000 0.000
O2 0.000 0.000 0.500
O3 0.000 0.500 0.000
O4 0.000 0.500 0.500
O5 0.125 0.750 0.875
O6 0.125 0.875 0.250
O7 0.250 0.125 0.875
O8 0.250 0.625 0.375
O9 0.375 0.250 0.625
O10 0.375 0.625 0.750
O11 0.500 0.000 0.000
O12 0.500 0.000 0.500
O13 0.500 0.500 0.000
O14 0.500 0.500 0.500
O15 0.625 0.375 0.250
O16 0.625 0.750 0.375
O17 0.750 0.375 0.625
O18 0.750 0.875 0.125
O19 0.875 0.125 0.750
O20 0.875 0.250 0.125

***

Material: Tb6Ru2O
Method: DFT, PBE-GGA
State: relaxed

Values from the calculation:
final energy = -118.638 eV per cell

a = 6.413 Å, b = 7.164 Å, c = 11.187 Å
α = 90.00°, β = 123.94°, γ = 90.00°
Positions (direct):
Tb1 0.124 0.170 0.440
Tb2 0.124 0.330 0.940
Tb3 0.265 0.683 0.437
Tb4 0.265 0.817 0.937
Tb5 0.375 0.044 0.254
Tb6 0.375 0.456 0.754
Tb7 0.625 0.544 0.246
Tb8 0.625 0.956 0.746
Tb9 0.735 0.183 0.063
Tb10 0.735 0.317 0.563
Tb11 0.876 0.670 0.060
Tb12 0.876 0.830 0.560
Ru1 0.214 0.102 0.747
Ru2 0.214 0.398 0.247
Ru3 0.786 0.602 0.753
Ru4 0.786 0.898 0.253
O1 0.500 0.000 0.500
O2 0.500 0.500 0.000

***

Material: TbTl2RuO8
Method: DFT, PBE-GGA
State: relaxed

Values from the calculation:
final energy = -72.060 eV per cell

a = 5.062 Å, b = 6.688 Å, c = 5.133 Å
α = 90.00°, β = 91.67°, γ = 90.00°
Positions (direct):
Tb1 0.000 0.000 0.000
Tl1 0.500 0.253 0.500
Tl2 0.500 0.747 0.500
Ru1 0.000 0.500 0.000
O1 0.187 0.291 0.835
O2 0.187 0.709 0.835
O3 0.264 0.500 0.288
O4 0.292 0.000 0.319
O5 0.708 0.000 0.681
O6 0.736 0.500 0.712
O7 0.813 0.291 0.165
O8 0.813 0.709 0.165

***

Material: Tc2RuO8
Method: DFT, PBE-GGA
State: relaxed

Values from the calculation:
final energy = -81.996 eV per cell

a = 6.422 Å, b = 6.422 Å, c = 5.025 Å
α = 93.61°, β = 93.61°, γ = 94.55°
Positions (direct):
Tc1 0.212 0.212 0.160
Tc2 0.788 0.788 0.840
Ru1 0.000 0.000 0.500
O1 0.030 0.727 0.698
O2 0.165 0.165 0.808
O3 0.273 0.970 0.302
O4 0.407 0.407 0.229
O5 0.593 0.593 0.771
O6 0.727 0.030 0.698
O7 0.835 0.835 0.192
O8 0.970 0.273 0.302

***

Material: TcRuO3
Method: DFT, PBE-GGA
State: relaxed

Values from the calculation:
final energy = -35.904 eV per cell

a = 3.871 Å, b = 3.871 Å, c = 3.871 Å
α = 90.00°, β = 90.00°, γ = 90.00°
Positions (direct):
Tc1 0.000 0.000 0.000
Ru1 0.500 0.500 0.500
O1 0.000 0.000 0.500
O2 0.000 0.500 0.000
O3 0.500 0.000 0.000

***

Material: Tc3RuO
Method: DFT, PBE-GGA
State: relaxed

Values from the calculation:
energy above the most stable polymorph in this dataset = 0.0 kJ per mole of atoms
final energy = -44.918 eV per cell

a = 4.036 Å, b = 4.036 Å, c = 4.036 Å
α = 90.00°, β = 90.00°, γ = 90.00°
Positions (direct):
Tc1 0.000 0.000 0.500
Tc2 0.000 0.500 0.000
Tc3 0.500 0.000 0.000
Ru1 0.500 0.500 0.500
O1 0.000 0.000 0.000

***

Material: TcRu2O6
Method: DFT, PBE-GGA
State: relaxed

Values from the calculation:
final energy = -205.759 eV per cell

a = 8.338 Å, b = 8.338 Å, c = 4.754 Å
α = 90.00°, β = 90.00°, γ = 120.00°
Positions (direct):
Tc1 0.000 0.000 0.000
Tc2 0.333 0.667 0.505
Tc3 0.667 0.333 0.495
Ru1 0.000 0.342 0.500
Ru2 0.000 0.676 0.000
Ru3 0.324 0.324 0.000
Ru4 0.342 0.000 0.500
Ru5 0.658 0.658 0.500
Ru6 0.676 0.000 0.000
O1 0.101 0.221 0.750
O2 0.113 0.564 0.759
O3 0.120 0.899 0.750
O4 0.215 0.771 0.260
O5 0.221 0.101 0.250
O6 0.229 0.444 0.260
O7 0.436 0.549 0.759
O8 0.444 0.229 0.740
O9 0.451 0.887 0.759
O10 0.549 0.436 0.241
O11 0.556 0.785 0.260
O12 0.564 0.113 0.241
O13 0.771 0.215 0.740
O14 0.779 0.880 0.750
O15 0.785 0.556 0.740
O16 0.880 0.779 0.250
O17 0.887 0.451 0.241
O18 0.899 0.120 0.250